[1]
! Ac5TbTl8 | Alexandria via LeMat-Bulk | PBE | optimized geometry; values from VASP
! Calculated formation energy in eV per atom: -0.294
! Magnetic moment in μB/atom: 0.0000
! V in Å³/cell: 486.66
! Electronic total energy in eV/atom: -3.44
! Fermi-level density of states in states/eV/atom: 0.764
&SYSTEM
  ibrav = 0, nat = 14, ntyp = 3
/
ATOMIC_SPECIES
Ac 227.00 Ac.upf
Tb 158.93 Tb.upf
Tl 204.38 Tl.upf
ATOMIC_POSITIONS angstrom
Ac 0.0000 0.0000 0.0000
Ac 6.1258 2.6315 -1.2684
Ac 2.6315 3.8756 1.2684
Ac -1.1251 2.3692 3.5967
Ac 2.3692 1.1251 6.1336
Tb 5.0007 0.0000 2.4326
Tl 3.3935 0.7054 -0.2719
Tl 3.0602 4.0907 -2.0954
Tl 4.2953 -1.6072 5.1370
Tl 1.9405 0.9100 2.7697
Tl 5.9108 3.0602 2.0954
Tl 0.7054 6.6079 0.2719
Tl 1.6072 4.2953 4.5933
Tl -0.9100 1.9405 6.9606
CELL_PARAMETERS angstrom
-5.0007 5.0007 4.8652
5.0007 -5.0007 4.8652
5.0007 5.0007 -4.8652

=====

[2]
! LaPr4Cu5 | Alexandria via LeMat-Bulk | PBE | optimized geometry; values from VASP
! Calculated formation energy in eV per atom: -0.122
! Magnetic moment in μB/atom: 0.0000
! V in Å³/cell: 238.41
! Electronic total energy in eV/atom: -4.57
! Fermi-level density of states in states/eV/atom: 0.873
&SYSTEM
  ibrav = 0, nat = 10, ntyp = 3
/
ATOMIC_SPECIES
La 138.91 La.upf
Pr 140.91 Pr.upf
Cu 63.55 Cu.upf
ATOMIC_POSITIONS angstrom
La 0.0000 0.0000 0.0000
Pr 0.0000 0.0000 3.6840
Pr 0.0000 0.0000 7.3381
Pr 0.0000 0.0000 10.9936
Pr 0.0000 0.0000 14.6477
Cu 1.8031 1.8031 1.8829
Cu 1.8031 1.8031 5.5104
Cu 1.8031 1.8031 9.1658
Cu 1.8031 1.8031 12.8212
Cu 1.8031 1.8031 16.4488
CELL_PARAMETERS angstrom
3.6063 0.0000 0.0000
0.0000 3.6063 0.0000
0.0000 0.0000 18.3317

=====

[3]
! AcSm2DyY5 | Alexandria via LeMat-Bulk | PBE | optimized geometry; values from VASP
! Calculated formation energy in eV per atom: 0.269
! Magnetic moment in μB/atom: 0.0000
! V in Å³/cell: 612.73
! Electronic total energy in eV/atom: -5.34
! Fermi-level density of states in states/eV/atom: 1.191
&SYSTEM
  ibrav = 0, nat = 18, ntyp = 4
/
ATOMIC_SPECIES
Ac 227.00 Ac.upf
Sm 150.36 Sm.upf
Dy 162.50 Dy.upf
Y 88.91 Y.upf
ATOMIC_POSITIONS angstrom
Ac 4.4089 0.0000 3.9401
Ac 0.0000 4.4089 3.9401
Sm 5.4228 1.0139 0.0000
Sm 1.0139 3.3951 0.0000
Sm 3.3951 1.0139 7.8803
Sm -1.0139 3.3951 7.8803
Dy 0.0000 0.0000 3.9401
Dy 0.0000 0.0000 11.8204
Y 0.0000 0.0000 0.0000
Y 2.5511 1.8578 -2.0909
Y 2.5511 -1.8578 5.7894
Y 2.5511 1.8578 2.0909
Y 2.5511 -1.8578 9.9712
Y 0.0000 0.0000 7.8803
Y 1.8578 6.2668 -2.0909
Y 1.8578 2.5511 5.7894
Y 1.8578 6.2668 2.0909
Y 1.8578 2.5511 9.9712
CELL_PARAMETERS angstrom
-4.4089 4.4089 7.8803
4.4089 -4.4089 7.8803
4.4089 4.4089 -7.8803

=====

[4]
! BeGaCu4 | Alexandria via LeMat-Bulk | PBE | optimized geometry; values from VASP
! Calculated formation energy in eV per atom: -0.066
! Magnetic moment in μB/atom: 0.0000
! V in Å³/cell: 70.64
! Electronic total energy in eV/atom: -3.92
! Fermi-level density of states in states/eV/atom: 0.243
&SYSTEM
  ibrav = 0, nat = 6, ntyp = 3
/
ATOMIC_SPECIES
Be 9.01 Be.upf
Ga 69.72 Ga.upf
Cu 63.55 Cu.upf
ATOMIC_POSITIONS angstrom
Be 0.0000 0.0000 0.0000
Ga -0.9777 0.0000 2.7871
Cu 1.5922 0.0000 3.8574
Cu 2.8027 0.0000 0.8186
Cu 4.0857 0.0000 4.7556
Cu 5.2963 0.0000 1.7169
CELL_PARAMETERS angstrom
4.4219 -1.4330 0.0000
4.4219 1.4330 0.0000
-1.9554 0.0000 5.5742